(1)
VASP calculation (GGA-PBE) on a relaxed NaPrZn10 crystal.

The structure in CIF format:
```
data_NaPrZn10
_chemical_formula_sum 'Na1 Pr1 Zn10'
_cell_length_a 4.3198
_cell_length_b 5.2492
_cell_length_c 9.4340
_cell_angle_alpha 90.00
_cell_angle_beta 90.00
_cell_angle_gamma 90.00
_symmetry_space_group_name_H-M 'P m m m'
_symmetry_Int_Tables_number 47
_symmetry_space_group_name_Hall '-P 2 2'
loop_
_atom_site_label
_atom_site_fract_x
_atom_site_fract_y
_atom_site_fract_z
Na1 0.0000 0.0000 0.0000
Pr1 0.0000 0.5000 0.5000
Zn1 0.0000 0.0000 0.3141
Zn2 0.0000 0.5000 0.1572
Zn3 0.5000 0.0000 0.5000
Zn4 0.5000 0.2573 0.2594
Zn5 0.5000 0.5000 0.0000
```

Computed properties:
**Formation energy**: -0.165 eV per atom
**E**: -20.8 eV per cell

***

(2)
VASP calculation (GGA-PBE) on a relaxed NaPrZn2 crystal.

The structure in CIF format:
```
data_NaPrZn2
_chemical_formula_sum 'Na1 Pr1 Zn2'
_cell_length_a 5.2565
_cell_length_b 5.2565
_cell_length_c 3.5585
_cell_angle_alpha 90.00
_cell_angle_beta 90.00
_cell_angle_gamma 90.00
_symmetry_space_group_name_H-M 'P 4/m m m'
_symmetry_Int_Tables_number 123
_symmetry_space_group_name_Hall '-P 4 2'
loop_
_atom_site_label
_atom_site_fract_x
_atom_site_fract_y
_atom_site_fract_z
Na1 0.0000 0.0000 0.0000
Pr1 0.5000 0.5000 0.0000
Zn1 0.0000 0.5000 0.5000
```

Computed properties:
**Formation energy**: -0.079 eV per atom
**E**: -9.0 eV per cell
**Excess energy over the best structure of this formula in the dataset**: 0.043 eV per atom

***

(3)
VASP calculation (GGA-PBE) on a relaxed NaPrZn2 crystal.

The structure in CIF format:
```
data_NaPrZn2
_chemical_formula_sum 'Na4 Pr4 Zn8'
_cell_length_a 7.2141
_cell_length_b 7.2141
_cell_length_c 7.2141
_cell_angle_alpha 90.00
_cell_angle_beta 90.00
_cell_angle_gamma 90.00
_symmetry_space_group_name_H-M 'F m -3 m'
_symmetry_Int_Tables_number 225
_symmetry_space_group_name_Hall '-F 4 2 3'
loop_
_atom_site_label
_atom_site_fract_x
_atom_site_fract_y
_atom_site_fract_z
Na1 0.0000 0.0000 0.0000
Pr1 0.0000 0.0000 0.5000
Zn1 0.2500 0.2500 0.2500
```

Computed properties:
**Formation energy**: -0.122 eV per atom
**E**: -36.5 eV per cell
**Excess energy over the best structure of this formula in the dataset**: 0.000 eV per atom

***

(4)
VASP calculation (GGA-PBE) on a relaxed NaPrZn17 crystal.

The structure in CIF format:
```
data_NaPrZn17
_chemical_formula_sum 'Na3 Pr3 Zn51'
_cell_length_a 9.0702
_cell_length_b 9.0702
_cell_length_c 13.2724
_cell_angle_alpha 90.00
_cell_angle_beta 90.00
_cell_angle_gamma 120.00
_symmetry_space_group_name_H-M 'R 3 m'
_symmetry_Int_Tables_number 160
_symmetry_space_group_name_Hall 'R 3 -2"'
loop_
_atom_site_label
_atom_site_fract_x
_atom_site_fract_y
_atom_site_fract_z
Na1 0.0000 0.0000 0.0000
Pr1 0.0000 0.0000 0.3211
Zn1 0.0000 0.0000 0.5604
Zn2 0.0000 0.0000 0.7605
Zn3 0.0032 0.2980 0.6581
Zn4 0.0051 0.5025 0.1564
Zn5 0.0084 0.5042 0.8115
Zn6 0.1696 0.3392 0.8385
```

Computed properties:
**Formation energy**: -0.142 eV per atom
**E**: -91.4 eV per cell